(1)
Below is an optimized crystal structure of NdGa3NiAg, with properties calculated at the PBE level.

Cell lengths 6.207, 5.961, 6.877 Å; angles 115.68, 90.00, 90.00 degrees
Fractional coordinates of all 12 atoms:
Ga: 0.000 0.719 0.000
Ga: 0.250 0.137 0.273
Ga: 0.750 0.863 0.727
Ga: 0.500 0.719 0.000
Ga: 0.000 0.281 0.000
Ga: 0.500 0.281 0.000
Ni: 0.750 0.063 0.126
Ni: 0.250 0.937 0.874
Nd: 0.750 0.279 0.558
Nd: 0.250 0.721 0.442
Ag: 0.750 0.652 0.303
Ag: 0.250 0.348 0.697

density of states at the Fermi level: 2.4 states/eV/f.u.
crystal system: orthorhombic
space group: Cmcm

***

(2)
Below is an optimized crystal structure of Nd2Ga3AgPd4, with properties calculated at the PBE level.

Cell lengths 4.082, 4.082, 11.796 Å; angles 90.00, 90.00, 90.00 degrees
Fractional coordinates of all 10 atoms:
Ga: 0.000 0.500 0.128
Ga: 0.000 0.000 0.500
Ga: 0.500 0.000 0.872
Pd: 0.500 0.500 0.000
Pd: 0.000 0.500 0.342
Pd: 0.000 0.000 0.000
Pd: 0.500 0.000 0.658
Ag: 0.500 0.500 0.500
Nd: 0.500 0.000 0.252
Nd: 0.000 0.500 0.748

density of states at the Fermi level: 4.1 states/eV/f.u.
crystal system: tetragonal
space group: P-4m2

***

(3)
Below is an optimized crystal structure of NdGaAg2Pd2, with properties calculated at the PBE level.

Cell lengths 5.322, 5.322, 6.317 Å; angles 114.91, 114.91, 90.00 degrees
Fractional coordinates of all 6 atoms:
Ag: 0.750 0.250 0.500
Ag: 0.250 0.750 0.500
Pd: 0.768 0.768 0.536
Pd: 0.232 0.232 0.464
Ga: 0.000 0.000 0.000
Nd: 0.500 0.500 0.000

density of states at the Fermi level: 4.7 states/eV/f.u.
crystal system: tetragonal
space group: I4/mmm

***

| no. | M_tot (μB per cell) | E_tot (eV/cell) |
| --- | --- | --- |
| 1 | 0.000 | -48.32 |
| 2 | 0.000 | -49.24 |
| 3 | 0.000 | -23.87 |